No. 1
Density functional theory data (PBE-GGA) for crystalline TmNiPd at its relaxed geometry.

a b c (Å): 4.9977 4.9977 5.5081
angles (deg): 90.00 90.00 131.10
Last column: nearest neighbours and their distance in Å.
Atoms (fractional coordinates):
Tm (0.1949, 0.8051, 0.7500)  5 Ni 2.67-2.89
Tm (0.8051, 0.1949, 0.2500)  5 Ni 2.67-2.89
Ni (0.0986, 0.9014, 0.2500)  4 Pd 2.64, 5 Tm 2.67-2.89
Ni (0.9014, 0.0986, 0.7500)  4 Pd 2.64, 5 Tm 2.67-2.89
Pd (0.5000, 0.5000, 0.0000)  4 Ni 2.64, 2 Pd 2.75
Pd (0.5000, 0.5000, 0.5000)  4 Ni 2.64, 2 Pd 2.75

Output
magnetization: 0.000 μB/f.u.
calculated formation energy: -0.68 eV per atom
uncorrected energy: -5.828 eV per atom


No. 2
Density functional theory data (PBE-GGA) for crystalline Co2Ru3 at its relaxed geometry.

a b c (Å): 10.6835 10.6835 10.6835
angles (deg): 14.28 14.28 14.28
Last column: nearest neighbours and their distance in Å.
Atoms (fractional coordinates):
Co (0.1007, 0.1007, 0.1007)  6 Ru 2.59-2.61, 6 Co 2.66
Co (0.8993, 0.8993, 0.8993)  6 Ru 2.59-2.61, 6 Co 2.66
Ru (0.2990, 0.2990, 0.2990)  3 Co 2.61, 9 Ru 2.66
Ru (0.5000, 0.5000, 0.5000)  6 Co 2.59, 6 Ru 2.66
Ru (0.7010, 0.7010, 0.7010)  3 Co 2.61, 9 Ru 2.66

Output
magnetization: 2.945 μB/f.u.
calculated formation energy: 0.21 eV per atom
uncorrected energy: -8.197 eV per atom


No. 3
Density functional theory data (PBE-GGA) for crystalline TlOsIO2 at its relaxed geometry.

a b c (Å): 4.0759 4.0759 7.0095
angles (deg): 90.00 90.00 90.00
Last column: nearest neighbours and their distance in Å.
Atoms (fractional coordinates):
Tl (0.0000, 0.0000, 0.0000)  4 O 2.04
Os (0.5000, 0.5000, 0.5000)  4 I 2.88
I (0.0000, 0.0000, 0.5000)  4 Os 2.88
O (0.0000, 0.5000, 0.0000)  2 Tl 2.04
O (0.5000, 0.0000, 0.0000)  2 Tl 2.04

Output
energy above the lowest structure with this stoichiometry: 1182 meV per atom
uncorrected formation energy: 1.13 eV/atom
magnetization: 3.092 μB/f.u.
uncorrected energy: -3.886 eV per atom


No. 4
Density functional theory data (PBE-GGA) for crystalline LaHo2Er4 at its relaxed geometry.

a b c (Å): 8.9763 8.9763 8.9763
angles (deg): 136.48 102.12 93.73
Last column: nearest neighbours and their distance in Å.
Atoms (fractional coordinates):
La (0.4730, 0.2230, 0.2500)  4 Er 3.18-3.42, 2 La 3.39
La (0.5270, 0.7770, 0.7500)  4 Er 3.18-3.42, 2 La 3.39
Ho (0.0000, 0.0000, 0.0000)  8 Er 3.35-3.72
Ho (0.0000, 0.0000, 0.5000)  6 Er 3.19-3.47, 2 Ho 3.33
Ho (0.0000, 0.5000, 0.0000)  6 Er 3.19-3.47, 2 Ho 3.33
Ho (0.5000, 0.0000, 0.5000)  8 Er 3.35-3.72
Er (0.1247, 0.6355, 0.4892)  5 Er 3.33-3.65, 1 La 3.42, 4 Ho 3.47-3.72
Er (0.2597, 0.2811, 0.5214)  1 Er 3.04, 1 La 3.18, 3 Ho 3.19-3.35
Er (0.2597, 0.7383, 0.9786)  1 Er 3.04, 1 La 3.18, 3 Ho 3.19-3.35
Er (0.3538, 0.3645, 0.9892)  5 Er 3.33-3.65, 1 La 3.42, 4 Ho 3.47-3.72
Er (0.6462, 0.6355, 0.0108)  5 Er 3.33-3.65, 1 La 3.42, 4 Ho 3.47-3.72
Er (0.7403, 0.2617, 0.0214)  1 Er 3.04, 1 La 3.18, 3 Ho 3.19-3.35
Er (0.7403, 0.7189, 0.4786)  1 Er 3.04, 1 La 3.18, 3 Ho 3.19-3.35
Er (0.8753, 0.3645, 0.5108)  5 Er 3.33-3.65, 1 La 3.42, 4 Ho 3.47-3.72

Output
energy above the lowest structure with this stoichiometry: 227 meV per atom
magnetization: 0.000 μB/f.u.
calculated formation energy: 0.27 eV per atom
uncorrected energy: -4.350 eV per atom


No. 5
Density functional theory data (PBE-GGA) for crystalline Rb2SmTe6 at its relaxed geometry.

a b c (Å): 10.5991 10.5991 6.0783
angles (deg): 98.22 98.22 34.82
Last column: nearest neighbours and their distance in Å.
Atoms (fractional coordinates):
Rb (0.1835, 0.1835, 0.2122)  6 Te 3.63-3.89
Rb (0.8165, 0.8165, 0.7878)  6 Te 3.63-3.89
Sm (0.5000, 0.5000, 0.5000)  8 Te 3.16-3.38
Te (0.1382, 0.5901, 0.3113)  1 Te 2.87, 1 Sm 3.16
Te (0.2685, 0.7315, 0.0000)  1 Te 2.94
Te (0.4099, 0.8618, 0.6887)  1 Te 2.87, 1 Sm 3.16
Te (0.5901, 0.1382, 0.3113)  1 Te 2.87, 1 Sm 3.16
Te (0.7315, 0.2685, 0.0000)  1 Te 2.94
Te (0.8618, 0.4099, 0.6887)  1 Te 2.87, 1 Sm 3.16

Output
uncorrected formation energy: -0.69 eV/atom
magnetization: 0.000 μB/f.u.
uncorrected energy: -3.520 eV per atom


No. 6
Density functional theory data (PBE-GGA) for crystalline BaN2F6 at its relaxed geometry.

a b c (Å): 4.4405 4.4986 10.7642
angles (deg): 83.04 80.48 60.74
Last column: nearest neighbours and their distance in Å.
Atoms (fractional coordinates):
Ba (0.0000, 0.0000, 0.0000)  8 F 2.65-2.79
N (0.4351, 0.6206, 0.5255)  1 N 1.11
N (0.5649, 0.3794, 0.4745)  1 N 1.11
F (0.0767, 0.6111, 0.2266)  1 F 1.52
F (0.1149, 0.1209, 0.6745)  1 F 1.52
F (0.3164, 0.3131, 0.0691)  1 F 2.09
F (0.6836, 0.6869, 0.9309)  1 F 2.09
F (0.8851, 0.8791, 0.3255)  1 F 1.52
F (0.9233, 0.3889, 0.7734)  1 F 1.52

Output
uncorrected formation energy: -1.27 eV/atom
magnetization: 0.000 μB/f.u.
uncorrected energy: -4.586 eV per atom


No. 7
Density functional theory data (PBE-GGA) for crystalline Tb3ErTh3 at its relaxed geometry.

a b c (Å): 9.5051 9.5051 5.7992
angles (deg): 90.00 90.00 120.00
Last column: nearest neighbours and their distance in Å.
Atoms (fractional coordinates):
Tb (0.0442, 0.2400, 0.2500)  5 Th 3.52-3.72, 6 Tb 3.58-3.64, 1 Er 3.59
Tb (0.1958, 0.9558, 0.2500)  5 Th 3.52-3.72, 6 Tb 3.58-3.64, 1 Er 3.59
Tb (0.2400, 0.1958, 0.7500)  5 Th 3.52-3.72, 6 Tb 3.58-3.64, 1 Er 3.59
Tb (0.7600, 0.8042, 0.2500)  5 Th 3.52-3.72, 6 Tb 3.58-3.64, 1 Er 3.59
Tb (0.8042, 0.0442, 0.7500)  5 Th 3.52-3.72, 6 Tb 3.58-3.64, 1 Er 3.59
Tb (0.9558, 0.7600, 0.7500)  5 Th 3.52-3.72, 6 Tb 3.58-3.64, 1 Er 3.59
Er (0.3333, 0.6667, 0.2500)  9 Th 3.52-3.65, 3 Tb 3.59
Er (0.6667, 0.3333, 0.7500)  9 Th 3.52-3.65, 3 Tb 3.59
Th (0.1038, 0.4868, 0.7500)  4 Th 3.44-3.59, 3 Er 3.52-3.65, 5 Tb 3.52-3.72
Th (0.3830, 0.8962, 0.7500)  4 Th 3.44-3.59, 3 Er 3.52-3.65, 5 Tb 3.52-3.72
Th (0.4868, 0.3830, 0.2500)  4 Th 3.44-3.59, 3 Er 3.52-3.65, 5 Tb 3.52-3.72
Th (0.5132, 0.6170, 0.7500)  4 Th 3.44-3.59, 3 Er 3.52-3.65, 5 Tb 3.52-3.72
Th (0.6170, 0.1038, 0.2500)  4 Th 3.44-3.59, 3 Er 3.52-3.65, 5 Tb 3.52-3.72
Th (0.8962, 0.5132, 0.2500)  4 Th 3.44-3.59, 3 Er 3.52-3.65, 5 Tb 3.52-3.72

Output
energy above the lowest structure with this stoichiometry: 7 meV per atom
magnetization: 0.000 μB/f.u.
calculated formation energy: 0.05 eV per atom
uncorrected energy: -5.767 eV per atom


No. 8
Density functional theory data (PBE-GGA) for crystalline LiSi2Ru at its relaxed geometry.

a b c (Å): 4.1187 2.9422 4.5831
angles (deg): 90.00 109.61 90.00
Last column: nearest neighbours and their distance in Å.
Atoms (fractional coordinates):
Li (0.0000, 0.0000, 0.0000)  6 Si 2.52-2.53, 4 Ru 2.72
Si (0.5000, 0.0000, 0.5000)  2 Li 2.52, 4 Ru 2.53, 4 Si 2.72
Si (0.5000, 0.5000, 0.0000)  2 Ru 2.52, 4 Li 2.53, 4 Si 2.72
Ru (0.0000, 0.5000, 0.5000)  6 Si 2.52-2.53, 4 Li 2.72

Output
energy above the lowest structure with this stoichiometry: 190 meV per atom
uncorrected formation energy: -0.16 eV/atom
magnetization: 0.000 μB/f.u.
uncorrected energy: -5.666 eV per atom